# 1
Compound: Y2Tm2Th5
Source: Alexandria
Functional: GGA-PBE
Structure: optimized geometry

Theoretical density = 9.7 g/cm3
Calculated formation energy = 1.149 kcal/mol of atoms
Total magnetic moment = 0.0 Bohr magnetons per cell
Space-group type = No. 12

Cell lengths 6.190, 6.190, 10.714 Å; angles 107.02, 107.02, 47.59 degrees
Atoms (fractional coordinates):
Y (0.166, 0.166, 0.056)
Y (0.834, 0.834, 0.944)
Tm (0.168, 0.168, 0.391)
Tm (0.832, 0.832, 0.609)
Th (0.164, 0.164, 0.721)
Th (0.498, 0.498, 0.829)
Th (0.500, 0.500, 0.500)
Th (0.502, 0.502, 0.171)
Th (0.836, 0.836, 0.279)


# 2
Compound: Y4Tm2Th
Source: Alexandria
Functional: GGA-PBE
Structure: optimized geometry

Theoretical density = 6.7 g/cm3
Calculated formation energy = 7.453 kcal/mol of atoms
Excess energy over the best structure of this formula in the dataset = 299 meV per atom
Total magnetic moment = 0.0 Bohr magnetons per cell
Space-group type = No. 74

Cell lengths 8.964, 8.964, 8.964 Å; angles 136.57, 100.14, 95.61 degrees
Atoms (fractional coordinates):
Y (0.158, 0.153, 0.005)
Y (0.236, 0.214, 0.478)
Y (0.236, 0.758, 0.022)
Y (0.351, 0.847, 0.505)
Y (0.649, 0.153, 0.495)
Y (0.764, 0.242, 0.978)
Y (0.764, 0.786, 0.522)
Y (0.842, 0.847, 0.995)
Tm (0.000, 0.500, 0.500)
Tm (0.026, 0.276, 0.750)
Tm (0.500, 0.500, 0.000)
Tm (0.974, 0.724, 0.250)
Th (0.500, 0.000, 0.000)
Th (0.500, 0.500, 0.500)


# 3
Compound: YTm5Th2
Source: Alexandria
Functional: GGA-PBE
Structure: optimized geometry

Theoretical density = 9.2 g/cm3
Calculated formation energy = 2.183 kcal/mol of atoms
Total magnetic moment = 0.0 Bohr magnetons per cell
Space-group type = No. 71

Cell lengths 8.742, 8.742, 8.742 Å; angles 156.92, 101.70, 82.95 degrees
Atoms (fractional coordinates):
Y (0.000, 0.000, 0.000)
Tm (0.137, 0.370, 0.767)
Tm (0.397, 0.630, 0.767)
Tm (0.500, 0.000, 0.500)
Tm (0.603, 0.370, 0.233)
Tm (0.863, 0.630, 0.233)
Th (0.244, 0.744, 0.500)
Th (0.756, 0.256, 0.500)


# 4
Compound: Y2Tm4Th5
Source: Alexandria
Functional: GGA-PBE
Structure: optimized geometry

Theoretical density = 9.6 g/cm3
Calculated formation energy = 0.699 kcal/mol of atoms
Total magnetic moment = 0.0 Bohr magnetons per cell
Space-group type = No. 12

Cell lengths 11.808, 11.808, 8.647 Å; angles 104.76, 104.76, 17.36 degrees
Atoms (fractional coordinates):
Y (0.091, 0.091, 0.231)
Y (0.909, 0.909, 0.769)
Tm (0.183, 0.183, 0.952)
Tm (0.454, 0.454, 0.143)
Tm (0.546, 0.546, 0.857)
Tm (0.817, 0.817, 0.048)
Th (0.000, 0.000, 0.500)
Th (0.272, 0.272, 0.679)
Th (0.364, 0.364, 0.408)
Th (0.636, 0.636, 0.592)
Th (0.728, 0.728, 0.321)


# 5
Compound: Y2Tm5Th5
Source: Alexandria
Functional: GGA-PBE
Structure: optimized geometry

Theoretical density = 9.6 g/cm3
Calculated formation energy = 0.981 kcal/mol of atoms
Total magnetic moment = 0.0 Bohr magnetons per cell
Space-group type = No. 12

Cell lengths 7.914, 7.914, 11.248 Å; angles 115.02, 115.02, 36.83 degrees
Atoms (fractional coordinates):
Y (0.083, 0.083, 0.251)
Y (0.917, 0.917, 0.749)
Tm (0.332, 0.332, 0.496)
Tm (0.415, 0.415, 0.252)
Tm (0.500, 0.500, 0.000)
Tm (0.585, 0.585, 0.748)
Tm (0.668, 0.668, 0.504)
Th (0.000, 0.000, 0.500)
Th (0.169, 0.169, 0.003)
Th (0.249, 0.249, 0.752)
Th (0.751, 0.751, 0.248)
Th (0.831, 0.831, 0.997)


# 6
Compound: Y4Tm6Th
Source: Alexandria
Functional: GGA-PBE
Structure: optimized geometry

Theoretical density = 7.1 g/cm3
Calculated formation energy = 11.677 kcal/mol of atoms
Excess energy over the best structure of this formula in the dataset = 336 meV per atom
Total magnetic moment = 0.0 Bohr magnetons per cell
Space-group type = No. 121

Cell lengths 8.448, 8.448, 8.448 Å; angles 126.79, 126.79, 78.60 degrees
Atoms (fractional coordinates):
Y (0.249, 0.249, 0.652)
Y (0.404, 0.751, 0.000)
Y (0.596, 0.596, 0.348)
Y (0.751, 0.404, 0.000)
Tm (0.000, 0.500, 0.500)
Tm (0.061, 0.582, 0.000)
Tm (0.418, 0.418, 0.480)
Tm (0.500, 0.000, 0.500)
Tm (0.582, 0.061, 0.000)
Tm (0.939, 0.939, 0.520)
Th (0.000, 0.000, 0.000)


# 7
Compound: Y4Tm8Th
Source: Alexandria
Functional: GGA-PBE
Structure: optimized geometry

Theoretical density = 7.0 g/cm3
Calculated formation energy = 12.458 kcal/mol of atoms
Total magnetic moment = 2.4 Bohr magnetons per cell
Space-group type = No. 166

Cell lengths 7.709, 7.709, 7.709 Å; angles 90.11, 90.11, 90.11 degrees
Atoms (fractional coordinates):
Y (0.000, 0.000, 0.000)
Y (0.000, 0.500, 0.500)
Y (0.500, 0.000, 0.500)
Y (0.500, 0.500, 0.000)
Tm (0.241, 0.241, 0.241)
Tm (0.241, 0.241, 0.758)
Tm (0.241, 0.758, 0.241)
Tm (0.242, 0.759, 0.759)
Tm (0.758, 0.241, 0.241)
Tm (0.759, 0.242, 0.759)
Tm (0.759, 0.759, 0.242)
Tm (0.759, 0.759, 0.759)
Th (0.500, 0.500, 0.500)


# 8
Compound: Y5Tm2Th2
Source: Alexandria
Functional: GGA-PBE
Structure: optimized geometry

Theoretical density = 7.1 g/cm3
Calculated formation energy = 6.150 kcal/mol of atoms
Excess energy over the best structure of this formula in the dataset = 0 meV per atom
Total magnetic moment = 0.0 Bohr magnetons per cell
Space-group type = No. 46

Cell lengths 10.069, 10.069, 10.069 Å; angles 85.03, 107.71, 141.48 degrees
Atoms (fractional coordinates):
Y (0.035, 0.058, 0.477)
Y (0.083, 0.451, 0.919)
Y (0.083, 0.665, 0.132)
Y (0.244, 0.053, 0.298)
Y (0.244, 0.447, 0.691)
Y (0.532, 0.165, 0.081)
Y (0.532, 0.951, 0.868)
Y (0.582, 0.558, 0.523)
Y (0.756, 0.553, 0.309)
Y (0.756, 0.947, 0.702)
Tm (0.658, 0.037, 0.372)
Tm (0.658, 0.787, 0.122)
Tm (0.665, 0.287, 0.628)
Tm (0.665, 0.537, 0.878)
Th (0.132, 0.885, 0.747)
Th (0.138, 0.385, 0.253)
Th (0.194, 0.194, 0.000)
Th (0.194, 0.694, 0.500)


# 9
Compound: YTm7Th3
Source: Alexandria
Functional: GGA-PBE
Structure: optimized geometry

Theoretical density = 9.2 g/cm3
Calculated formation energy = 3.637 kcal/mol of atoms
Excess energy over the best structure of this formula in the dataset = 0 meV per atom
Total magnetic moment = 0.0 Bohr magnetons per cell
Space-group type = No. 10

Cell lengths 6.874, 5.464, 10.023 Å; angles 90.00, 110.02, 90.00 degrees
Atoms (fractional coordinates):
Y (0.000, 0.000, 0.000)
Tm (0.087, 0.000, 0.670)
Tm (0.176, 0.500, 0.861)
Tm (0.361, 0.500, 0.207)
Tm (0.500, 0.000, 0.500)
Tm (0.639, 0.500, 0.793)
Tm (0.824, 0.500, 0.139)
Tm (0.913, 0.000, 0.330)
Th (0.222, 0.500, 0.500)
Th (0.500, 0.000, 0.000)
Th (0.778, 0.500, 0.500)


# 10
Compound: YTm6Th3
Source: Alexandria
Functional: GGA-PBE
Structure: optimized geometry

Theoretical density = 9.5 g/cm3
Calculated formation energy = 1.875 kcal/mol of atoms
Excess energy over the best structure of this formula in the dataset = 0 meV per atom
Total magnetic moment = 0.0 Bohr magnetons per cell
Space-group type = No. 11

Cell lengths 13.070, 3.493, 14.495 Å; angles 90.00, 108.53, 90.00 degrees
Atoms (fractional coordinates):
Y (0.079, 0.250, 0.195)
Y (0.921, 0.750, 0.805)
Tm (0.146, 0.750, 0.013)
Tm (0.157, 0.250, 0.809)
Tm (0.215, 0.250, 0.600)
Tm (0.259, 0.750, 0.402)
Tm (0.340, 0.250, 0.225)
Tm (0.392, 0.750, 0.789)
Tm (0.608, 0.250, 0.211)
Tm (0.660, 0.750, 0.775)
Tm (0.741, 0.250, 0.598)
Tm (0.785, 0.750, 0.400)
Tm (0.843, 0.750, 0.191)
Tm (0.854, 0.250, 0.987)
Th (0.005, 0.250, 0.395)
Th (0.386, 0.250, 0.005)
Th (0.465, 0.250, 0.590)
Th (0.535, 0.750, 0.410)
Th (0.614, 0.750, 0.995)
Th (0.995, 0.750, 0.605)